A geometry-optimized YHo6In2 structure. Source: Alexandria via LeMat-Bulk, functional PBE.

ΔH_f (0 K): 0.329 eV/atom
Energy above the most stable polymorph in this dataset: 4.85 eV per formula unit

abc: 6.2462 6.2462 8.7584
angles: 110.89 110.89 90.00
Fractional positions:
Y  0.5000  0.5000  0.0000
Ho  0.9111  0.2640  0.1751
Ho  0.7360  0.7360  0.8249
Ho  0.2640  0.9111  0.1751
Ho  0.0889  0.0889  0.8249
Ho  0.7500  0.2500  0.5000
Ho  0.2500  0.7500  0.5000
In  0.2872  0.2872  0.5743
In  0.7128  0.7128  0.4257